ScNb3Cl | PBE | relaxed

Geometry as CIF:
```
data_ScNb3Cl
_cell_length_a 4.893
_cell_length_b 4.893
_cell_length_c 4.893
_cell_angle_alpha 90.00
_cell_angle_beta 90.00
_cell_angle_gamma 90.00
_symmetry_space_group_name_H-M 'P m -3 m'
_symmetry_Int_Tables_number 221
_symmetry_space_group_name_Hall '-P 4 2 3'
loop_
_atom_site_label
_atom_site_type_symbol
_atom_site_fract_x
_atom_site_fract_y
_atom_site_fract_z
Sc1 Sc 0.000 0.000 0.000
Nb1 Nb 0.000 0.000 0.500
Cl1 Cl 0.500 0.500 0.500
```

Excess energy over the best structure of this formula in the dataset = 1.433 eV/atom
Density = 5.092 g/cm³
Uncorrected energy = -29.3 eV per cell
Uncorrected formation energy = 1.808 eV per atom
Fermi-level density of states = 1.11 states/eV/atom

MgTlCdPd | PBE | relaxed

Geometry as CIF:
```
data_MgTlCdPd
_cell_length_a 6.869
_cell_length_b 6.869
_cell_length_c 6.869
_cell_angle_alpha 90.00
_cell_angle_beta 90.00
_cell_angle_gamma 90.00
_symmetry_space_group_name_H-M 'F -4 3 m'
_symmetry_Int_Tables_number 216
_symmetry_space_group_name_Hall 'F -4 2 3'
loop_
_atom_site_label
_atom_site_type_symbol
_atom_site_fract_x
_atom_site_fract_y
_atom_site_fract_z
Mg1 Mg 0.000 0.000 0.000
Tl1 Tl 0.250 0.250 0.750
Cd1 Cd 0.000 0.000 0.500
Pd1 Pd 0.250 0.250 0.250
```

Density = 9.172 g/cm³
Uncorrected energy = -42.9 eV per cell
Fermi-level density of states = 0.34 states/eV/atom

PuH3Pd | PBE | relaxed

Geometry as CIF:
```
data_PuH3Pd
_cell_length_a 3.744
_cell_length_b 3.744
_cell_length_c 3.744
_cell_angle_alpha 90.00
_cell_angle_beta 90.00
_cell_angle_gamma 90.00
_symmetry_space_group_name_H-M 'P m -3 m'
_symmetry_Int_Tables_number 221
_symmetry_space_group_name_Hall '-P 4 2 3'
loop_
_atom_site_label
_atom_site_type_symbol
_atom_site_fract_x
_atom_site_fract_y
_atom_site_fract_z
Pu1 Pu 0.000 0.000 0.000
H1 H 0.000 0.500 0.500
Pd1 Pd 0.500 0.500 0.500
```

Density = 11.184 g/cm³
Uncorrected energy = -31.2 eV per cell
Fermi-level density of states = 2.19 states/eV/atom